Record 1
A plane-wave DFT calculation with GGA-PBEsol was carried out for a relaxed BaSr2Be crystal.

Cell: 4.3591 4.3591 32.7632 Å, 90.00 90.00 120.00°
Space group R-3m (No. 166, hexagonal axes)
Unique sites:
1 Ba 0.0000 0.0000 0.0000 [3 per cell]
2 Sr 0.0000 0.0000 0.2215 [6 per cell]
3 Be 0.0000 0.0000 0.5000 [3 per cell]

Calculated values
Electronic total energy   -2.07 eV per atom
Energy relative to the elements   0.389 eV/atom
Total magnetic moment   0.000 μB/atom



Record 2
A plane-wave DFT calculation with GGA-PBEsol was carried out for a relaxed Mg2CuSb crystal.

Cell: 8.527 3.267 5.905 Å, 90.00 101.18 90.00°
Space group C2/m (No. 12)
Unique sites:
1 Mg 0.240 0.000 0.210 [4 per cell]
2 Cu 0.000 0.500 0.000 [2 per cell]
3 Sb 0.000 0.000 0.500 [2 per cell]

Calculated values
Raw formation energy   0.01 eV per atom
Electronic total energy   -3.07 eV per atom
Total magnetic moment   0.000 μB/atom



Record 3
A plane-wave DFT calculation with GGA-PBEsol was carried out for a relaxed BaCo4Cu crystal.

Cell: 7.087 7.087 7.087 Å, 90.00 90.00 90.00°
Space group F-43m (No. 216)
Unique sites:
1 Ba 0.000 0.000 0.000 [4 per cell]
2 Co 0.123 0.123 0.623 [16 per cell]
3 Cu 0.250 0.250 0.250 [4 per cell]

Calculated values
Electronic total energy   -5.62 eV per atom
Energy relative to the elements   0.616 eV/atom
Total magnetic moment   1.094 μB/atom



Record 4
A plane-wave DFT calculation with GGA-PBEsol was carried out for a relaxed NiH crystal.

Cell: 3.665 3.665 3.665 Å, 90.00 90.00 90.00°
Space group Fm-3m (No. 225)
Unique sites:
1 Ni 0.000 0.000 0.000 [4 per cell]
2 H 0.000 0.000 0.500 [4 per cell]

Calculated values
Electronic total energy   -4.85 eV per atom
Total magnetic moment   0.000 μB/atom



Record 5
A plane-wave DFT calculation with GGA-PBEsol was carried out for a relaxed KLa2Rh crystal.

Cell: 4.120 3.940 9.500 Å, 90.00 102.49 90.00°
Space group Pm (No. 6)
Unique sites:
1 K 0.000 0.000 0.000 [1 per cell]
2 La 0.318 0.000 0.639 [1 per cell]
3 La 0.681 0.500 0.364 [1 per cell]
4 Rh 0.819 0.500 0.642 [1 per cell]

Calculated values
E above lowest polymorph   190 meV/atom
Electronic total energy   -5.11 eV per atom
Energy relative to the elements   -0.114 eV/atom
Total magnetic moment   0.000 μB/atom



Record 6
A plane-wave DFT calculation with GGA-PBEsol was carried out for a relaxed KLiRe2N crystal.

Cell: 4.279 4.279 4.017 Å, 90.00 90.00 90.00°
Space group P4/mmm (No. 123)
Unique sites:
1 K 0.000 0.000 0.000 [1 per cell]
2 Li 0.500 0.500 0.500 [1 per cell]
3 Re 0.000 0.500 0.500 [2 per cell]
4 N 0.500 0.500 0.000 [1 per cell]

Calculated values
Raw formation energy   2.67 eV per atom
Electronic total energy   -4.99 eV per atom
Total magnetic moment   0.000 μB/atom